# 1
Below is crystalline MgTlAs2 at its relaxed geometry, with properties calculated at the GGA-PBE level.

Cell and atoms, written as CIF:
```
data_MgTlAs2
_space_group_name_H-M_alt 'P 4/m m m'
_space_group_IT_number 123
_space_group_name_Hall '-P 4 2'
_cell_length_a 4.468
_cell_length_b 4.468
_cell_length_c 4.476
_cell_angle_alpha 90.00
_cell_angle_beta 90.00
_cell_angle_gamma 90.00
loop_
_atom_site_label
_atom_site_fract_x
_atom_site_fract_y
_atom_site_fract_z
Mg1 0.000 0.000 0.000
Tl1 0.500 0.500 0.000
As1 0.000 0.500 0.500
```

# 2
Below is crystalline MgTlAs2 at its relaxed geometry, with properties calculated at the GGA-PBE level.

Cell and atoms, written as CIF:
```
data_MgTlAs2
_space_group_name_H-M_alt 'C 1 m 1'
_space_group_IT_number 8
_space_group_name_Hall 'C -2y'
_cell_length_a 8.765
_cell_length_b 3.580
_cell_length_c 7.896
_cell_angle_alpha 90.00
_cell_angle_beta 123.38
_cell_angle_gamma 90.00
loop_
_atom_site_label
_atom_site_fract_x
_atom_site_fract_y
_atom_site_fract_z
Mg1 0.000 0.000 0.000
Tl1 0.173 0.500 0.483
As1 0.211 0.000 0.852
As2 0.289 0.500 0.151
```

# 3
Below is crystalline MgTlAs2 at its relaxed geometry, with properties calculated at the GGA-PBE level.

Cell and atoms, written as CIF:
```
data_MgTlAs2
_space_group_name_H-M_alt 'I m m m'
_space_group_IT_number 71
_space_group_name_Hall '-I 2 2'
_cell_length_a 4.096
_cell_length_b 5.128
_cell_length_c 8.572
_cell_angle_alpha 90.00
_cell_angle_beta 90.00
_cell_angle_gamma 90.00
loop_
_atom_site_label
_atom_site_fract_x
_atom_site_fract_y
_atom_site_fract_z
Mg1 0.000 0.000 0.000
Tl1 0.000 0.000 0.500
As1 0.000 0.500 0.268
```

# 4
Below is crystalline Mg2TlAs at its relaxed geometry, with properties calculated at the GGA-PBE level.

Cell and atoms, written as CIF:
```
data_Mg2TlAs
_space_group_name_H-M_alt 'P 4 m m'
_space_group_IT_number 99
_space_group_name_Hall 'P 4 -2'
_cell_length_a 3.851
_cell_length_b 3.851
_cell_length_c 6.298
_cell_angle_alpha 90.00
_cell_angle_beta 90.00
_cell_angle_gamma 90.00
loop_
_atom_site_label
_atom_site_fract_x
_atom_site_fract_y
_atom_site_fract_z
Mg1 0.000 0.000 0.000
Mg2 0.500 0.500 0.308
Tl1 0.000 0.000 0.535
As1 0.500 0.500 0.880
```

# 5
Below is crystalline Mg2TlAs at its relaxed geometry, with properties calculated at the GGA-PBE level.

Cell and atoms, written as CIF:
```
data_Mg2TlAs
_space_group_name_H-M_alt 'R 3 m'
_space_group_IT_number 160
_space_group_name_Hall 'R 3 -2"'
_cell_length_a 3.2670
_cell_length_b 3.2670
_cell_length_c 30.7843
_cell_angle_alpha 90.00
_cell_angle_beta 90.00
_cell_angle_gamma 120.00
loop_
_atom_site_label
_atom_site_fract_x
_atom_site_fract_y
_atom_site_fract_z
Mg1 0.0000 0.0000 0.0000
Mg2 0.0000 0.0000 0.2488
Tl1 0.0000 0.0000 0.7526
As1 0.0000 0.0000 0.5142
```

# 6
Below is crystalline MgTlAs2 at its relaxed geometry, with properties calculated at the GGA-PBE level.

Cell and atoms, written as CIF:
```
data_MgTlAs2
_space_group_name_H-M_alt 'A m m 2'
_space_group_IT_number 38
_space_group_name_Hall 'A 2 -2'
_cell_length_a 5.142
_cell_length_b 5.535
_cell_length_c 6.940
_cell_angle_alpha 90.00
_cell_angle_beta 90.00
_cell_angle_gamma 90.00
loop_
_atom_site_label
_atom_site_fract_x
_atom_site_fract_y
_atom_site_fract_z
Mg1 0.000 0.000 0.000
Tl1 0.500 0.000 0.325
As1 0.000 0.000 0.613
As2 0.500 0.000 0.761
```

# 7
Below is crystalline MgTl2As4 at its relaxed geometry, with properties calculated at the GGA-PBE level.

Cell and atoms, written as CIF:
```
data_MgTl2As4
_space_group_name_H-M_alt 'I 4/m m m'
_space_group_IT_number 139
_space_group_name_Hall '-I 4 2'
_cell_length_a 4.925
_cell_length_b 4.925
_cell_length_c 16.981
_cell_angle_alpha 90.00
_cell_angle_beta 90.00
_cell_angle_gamma 90.00
loop_
_atom_site_label
_atom_site_fract_x
_atom_site_fract_y
_atom_site_fract_z
Mg1 0.000 0.000 0.000
Tl1 0.000 0.000 0.394
As1 0.000 0.000 0.238
As2 0.000 0.500 0.000
```

# 8
Below is crystalline Mg2TlAs at its relaxed geometry, with properties calculated at the GGA-PBE level.

Cell and atoms, written as CIF:
```
data_Mg2TlAs
_space_group_name_H-M_alt 'F -4 3 m'
_space_group_IT_number 216
_space_group_name_Hall 'F -4 2 3'
_cell_length_a 7.263
_cell_length_b 7.263
_cell_length_c 7.263
_cell_angle_alpha 90.00
_cell_angle_beta 90.00
_cell_angle_gamma 90.00
loop_
_atom_site_label
_atom_site_fract_x
_atom_site_fract_y
_atom_site_fract_z
Mg1 0.000 0.000 0.000
Mg2 0.250 0.250 0.250
Tl1 0.000 0.000 0.500
As1 0.250 0.250 0.750
```

# 9
Below is crystalline MgTlAs2 at its relaxed geometry, with properties calculated at the GGA-PBE level.

Cell and atoms, written as CIF:
```
data_MgTlAs2
_space_group_name_H-M_alt 'C m m m'
_space_group_IT_number 65
_space_group_name_Hall '-C 2 2'
_cell_length_a 5.866
_cell_length_b 7.922
_cell_length_c 3.880
_cell_angle_alpha 90.00
_cell_angle_beta 90.00
_cell_angle_gamma 90.00
loop_
_atom_site_label
_atom_site_fract_x
_atom_site_fract_y
_atom_site_fract_z
Mg1 0.000 0.000 0.000
Tl1 0.000 0.500 0.000
As1 0.250 0.250 0.500
```

# 10
Below is crystalline MgTlAs2 at its relaxed geometry, with properties calculated at the GGA-PBE level.

Cell and atoms, written as CIF:
```
data_MgTlAs2
_space_group_name_H-M_alt 'I -4 2 d'
_space_group_IT_number 122
_space_group_name_Hall 'I -4 2bw'
_cell_length_a 6.287
_cell_length_b 6.287
_cell_length_c 12.013
_cell_angle_alpha 90.00
_cell_angle_beta 90.00
_cell_angle_gamma 90.00
loop_
_atom_site_label
_atom_site_fract_x
_atom_site_fract_y
_atom_site_fract_z
Mg1 0.000 0.000 0.000
Tl1 0.000 0.000 0.500
As1 0.239 0.250 0.125
```

# 11
Below is crystalline MgTlAs2 at its relaxed geometry, with properties calculated at the GGA-PBE level.

Cell and atoms, written as CIF:
```
data_MgTlAs2
_space_group_name_H-M_alt 'C 1 2/m 1'
_space_group_IT_number 12
_space_group_name_Hall '-C 2y'
_cell_length_a 8.705
_cell_length_b 3.616
_cell_length_c 6.589
_cell_angle_alpha 90.00
_cell_angle_beta 101.31
_cell_angle_gamma 90.00
loop_
_atom_site_label
_atom_site_fract_x
_atom_site_fract_y
_atom_site_fract_z
Mg1 0.000 0.000 0.000
Tl1 0.000 0.500 0.500
As1 0.239 0.500 0.155
```

# 12
Below is crystalline MgTlAs2 at its relaxed geometry, with properties calculated at the GGA-PBE level.

Cell and atoms, written as CIF:
```
data_MgTlAs2
_space_group_name_H-M_alt 'P m m 2'
_space_group_IT_number 25
_space_group_name_Hall 'P 2 -2'
_cell_length_a 3.304
_cell_length_b 4.260
_cell_length_c 7.250
_cell_angle_alpha 90.00
_cell_angle_beta 90.00
_cell_angle_gamma 90.00
loop_
_atom_site_label
_atom_site_fract_x
_atom_site_fract_y
_atom_site_fract_z
Mg1 0.000 0.000 0.000
Tl1 0.500 0.500 0.525
As1 0.000 0.000 0.370
As2 0.500 0.500 0.905
```

| no. | mass density (g cm⁻³) | formation enthalpy at 0 K (eV/atom) |
| --- | --- | --- |
| 1 | 7.0 | 0.10 |
| 2 | 6.1 | -0.10 |
| 3 | 7.0 | 0.09 |
| 4 | 5.8 | -0.08 |
| 5 | 5.7 | 0.05 |
| 6 | 6.4 | -0.04 |
| 7 | 5.9 | 0.44 |
| 8 | 5.7 | 0.04 |
| 9 | 7.0 | 0.05 |
| 10 | 5.3 | 0.01 |
| 11 | 6.2 | -0.09 |
| 12 | 6.2 | -0.05 |